Material: Tb3AlGe3
Method: DFT, PBE
State: optimized geometry

```
data_Tb3AlGe3
_chemical_formula_sum 'Tb6 Al2 Ge6'
_symmetry_space_group_name_H-M 'P 63/m'
_symmetry_Int_Tables_number 176
_symmetry_space_group_name_Hall '-P 6c'
_cell_length_a 8.5481
_cell_length_b 8.5481
_cell_length_c 5.8912
_cell_angle_alpha 90.00
_cell_angle_beta 90.00
_cell_angle_gamma 120.00
loop_
_atom_site_label
_atom_site_type_symbol
_atom_site_fract_x
_atom_site_fract_y
_atom_site_fract_z
_atom_site_occupancy
Tb1 Tb 0.0604 0.6925 0.2500 1
Al1 Al 0.3333 0.6667 0.7500 1
Ge1 Ge 0.0573 0.6969 0.7500 1
```

- E_form: -400 kJ/mol of formula units
- Relative energy among the computed polymorphs: 166 meV per atom
- E_tot: -5.09 eV/atom

Material: Zn2CuAu2
Method: DFT, PBE
State: optimized geometry

```
data_Zn2CuAu2
_chemical_formula_sum 'Zn4 Cu2 Au4'
_symmetry_space_group_name_H-M 'P 4/m b m'
_symmetry_Int_Tables_number 127
_symmetry_space_group_name_Hall '-P 4 2ab'
_cell_length_a 7.075
_cell_length_b 7.075
_cell_length_c 3.329
_cell_angle_alpha 90.00
_cell_angle_beta 90.00
_cell_angle_gamma 90.00
loop_
_atom_site_label
_atom_site_type_symbol
_atom_site_fract_x
_atom_site_fract_y
_atom_site_fract_z
_atom_site_occupancy
Zn1 Zn 0.151 0.349 0.000 1
Cu1 Cu 0.000 0.000 0.500 1
Au1 Au 0.151 0.651 0.500 1
```

- E_form: -28 kJ/mol of formula units
- Relative energy among the computed polymorphs: 81 meV per atom
- E_tot: -2.70 eV/atom

Material: ErPu2O7
Method: DFT, PBE
State: optimized geometry

```
data_ErPu2O7
_chemical_formula_sum 'Er3 Pu6 O21'
_symmetry_space_group_name_H-M 'R -3 m'
_symmetry_Int_Tables_number 166
_symmetry_space_group_name_Hall '-R 3 2"'
_cell_length_a 3.8039
_cell_length_b 3.8039
_cell_length_c 30.3649
_cell_angle_alpha 90.00
_cell_angle_beta 90.00
_cell_angle_gamma 120.00
loop_
_atom_site_label
_atom_site_type_symbol
_atom_site_fract_x
_atom_site_fract_y
_atom_site_fract_z
_atom_site_occupancy
Er1 Er 0.0000 0.0000 0.0000 1
Pu1 Pu 0.0000 0.0000 0.4322 1
O1 O 0.0000 0.0000 0.0767 1
O2 O 0.0000 0.0000 0.2200 1
O3 O 0.0000 0.0000 0.3614 1
O4 O 0.0000 0.0000 0.5000 1
```

- ΔE_f (raw): -2.8394 eV per atom
- E_tot: -9.63 eV/atom

Material: ScP2IrO
Method: DFT, PBE
State: optimized geometry

```
data_ScP2IrO
_chemical_formula_sum 'Sc1 P2 Ir1 O1'
_symmetry_space_group_name_H-M 'P 4/m m m'
_symmetry_Int_Tables_number 123
_symmetry_space_group_name_Hall '-P 4 2'
_cell_length_a 4.982
_cell_length_b 4.982
_cell_length_c 3.710
_cell_angle_alpha 90.00
_cell_angle_beta 90.00
_cell_angle_gamma 90.00
loop_
_atom_site_label
_atom_site_type_symbol
_atom_site_fract_x
_atom_site_fract_y
_atom_site_fract_z
_atom_site_occupancy
Sc1 Sc 0.000 0.000 0.000 1
P1 P 0.000 0.500 0.000 1
Ir1 Ir 0.500 0.500 0.500 1
O1 O 0.000 0.000 0.500 1
```

- Relative energy among the computed polymorphs: 575 meV per atom
- ΔE_f (raw): 0.3224 eV per atom
- E_tot: -5.87 eV/atom

Material: LaZnAsRh3
Method: DFT, PBE
State: optimized geometry

```
data_LaZnAsRh3
_chemical_formula_sum 'La4 Zn4 As4 Rh12'
_symmetry_space_group_name_H-M 'C m c m'
_symmetry_Int_Tables_number 63
_symmetry_space_group_name_Hall '-C 2c 2'
_cell_length_a 6.588
_cell_length_b 11.825
_cell_length_c 5.844
_cell_angle_alpha 90.00
_cell_angle_beta 90.00
_cell_angle_gamma 90.00
loop_
_atom_site_label
_atom_site_type_symbol
_atom_site_fract_x
_atom_site_fract_y
_atom_site_fract_z
_atom_site_occupancy
La1 La 0.000 0.206 0.250 1
Zn1 Zn 0.000 0.459 0.250 1
As1 As 0.000 0.125 0.750 1
Rh1 Rh 0.000 0.325 0.750 1
Rh2 Rh 0.207 0.000 0.000 1
```

- E_form: -293 kJ/mol of formula units
- E_tot: -5.99 eV/atom

Material: Cd3In6Pb2
Method: DFT, PBE
State: optimized geometry

```
data_Cd3In6Pb2
_chemical_formula_sum 'Cd9 In18 Pb6'
_symmetry_space_group_name_H-M 'R -3 m'
_symmetry_Int_Tables_number 166
_symmetry_space_group_name_Hall '-R 3 2"'
_cell_length_a 3.4419
_cell_length_b 3.4419
_cell_length_c 86.4270
_cell_angle_alpha 90.00
_cell_angle_beta 90.00
_cell_angle_gamma 120.00
loop_
_atom_site_label
_atom_site_type_symbol
_atom_site_fract_x
_atom_site_fract_y
_atom_site_fract_z
_atom_site_occupancy
Cd1 Cd 0.0000 0.0000 0.0000 1
Cd2 Cd 0.0000 0.0000 0.2768 1
In1 In 0.0000 0.0000 0.0852 1
In2 In 0.0000 0.0000 0.1822 1
In3 In 0.0000 0.0000 0.3616 1
Pb1 Pb 0.0000 0.0000 0.4512 1
```

- E_form: 23 kJ/mol of formula units
- E_tot: -2.40 eV/atom

Material: Zr3Ta
Method: DFT, PBE
State: optimized geometry

```
data_Zr3Ta
_chemical_formula_sum 'Zr12 Ta4'
_symmetry_space_group_name_H-M 'C m c m'
_symmetry_Int_Tables_number 63
_symmetry_space_group_name_Hall '-C 2c 2'
_cell_length_a 7.290
_cell_length_b 10.114
_cell_length_c 4.751
_cell_angle_alpha 90.00
_cell_angle_beta 90.00
_cell_angle_gamma 90.00
loop_
_atom_site_label
_atom_site_type_symbol
_atom_site_fract_x
_atom_site_fract_y
_atom_site_fract_z
_atom_site_occupancy
Zr1 Zr 0.000 0.151 0.250 1
Zr2 Zr 0.239 0.393 0.250 1
Ta1 Ta 0.000 0.348 0.750 1
```

- E_form: 40 kJ/mol of formula units
- Relative energy among the computed polymorphs: 0 meV per atom
- E_tot: -9.27 eV/atom

Material: FeH
Method: DFT, PBE
State: optimized geometry

```
data_FeH
_chemical_formula_sum 'Fe1 H1'
_symmetry_space_group_name_H-M 'P -6 m 2'
_symmetry_Int_Tables_number 187
_symmetry_space_group_name_Hall 'P -6 2'
_cell_length_a 2.5949
_cell_length_b 2.5949
_cell_length_c 2.4893
_cell_angle_alpha 90.00
_cell_angle_beta 90.00
_cell_angle_gamma 120.00
loop_
_atom_site_label
_atom_site_type_symbol
_atom_site_fract_x
_atom_site_fract_y
_atom_site_fract_z
_atom_site_occupancy
Fe1 Fe 0.0000 0.0000 0.0000 1
H1 H 0.3333 0.6667 0.5000 1
```

- E_tot: -5.67 eV/atom

Material: Li2TlSb
Method: DFT, PBE
State: optimized geometry

```
data_Li2TlSb
_chemical_formula_sum 'Li8 Tl4 Sb4'
_symmetry_space_group_name_H-M 'I -4 2 d'
_symmetry_Int_Tables_number 122
_symmetry_space_group_name_Hall 'I -4 2bw'
_cell_length_a 4.600
_cell_length_b 4.600
_cell_length_c 18.839
_cell_angle_alpha 90.00
_cell_angle_beta 90.00
_cell_angle_gamma 90.00
loop_
_atom_site_label
_atom_site_type_symbol
_atom_site_fract_x
_atom_site_fract_y
_atom_site_fract_z
_atom_site_occupancy
Li1 Li 0.212 0.250 0.125 1
Tl1 Tl 0.000 0.000 0.500 1
Sb1 Sb 0.000 0.000 0.000 1
```

- ΔE_f (raw): -0.1496 eV per atom
- E_tot: -2.73 eV/atom

Material: Sc2PaTc
Method: DFT, PBE
State: optimized geometry

```
data_Sc2PaTc
_chemical_formula_sum 'Sc2 Pa1 Tc1'
_symmetry_space_group_name_H-M 'P 4/m m m'
_symmetry_Int_Tables_number 123
_symmetry_space_group_name_Hall '-P 4 2'
_cell_length_a 3.210
_cell_length_b 3.210
_cell_length_c 8.176
_cell_angle_alpha 90.00
_cell_angle_beta 90.00
_cell_angle_gamma 90.00
loop_
_atom_site_label
_atom_site_type_symbol
_atom_site_fract_x
_atom_site_fract_y
_atom_site_fract_z
_atom_site_occupancy
Sc1 Sc 0.000 0.000 0.194 1
Pa1 Pa 0.500 0.500 0.500 1
Tc1 Tc 0.500 0.500 0.000 1
```

- E_form: 6 kJ/mol of formula units
- Relative energy among the computed polymorphs: 219 meV per atom
- E_tot: -8.11 eV/atom

Material: HfTa2Rh2
Method: DFT, PBE
State: optimized geometry

```
data_HfTa2Rh2
_chemical_formula_sum 'Hf2 Ta4 Rh4'
_symmetry_space_group_name_H-M 'I 4/m m m'
_symmetry_Int_Tables_number 139
_symmetry_space_group_name_Hall '-I 4 2'
_cell_length_a 4.345
_cell_length_b 4.345
_cell_length_c 10.287
_cell_angle_alpha 90.00
_cell_angle_beta 90.00
_cell_angle_gamma 90.00
loop_
_atom_site_label
_atom_site_type_symbol
_atom_site_fract_x
_atom_site_fract_y
_atom_site_fract_z
_atom_site_occupancy
Hf1 Hf 0.000 0.000 0.000 1
Ta1 Ta 0.000 0.500 0.250 1
Rh1 Rh 0.000 0.000 0.379 1
```

- E_form: -88 kJ/mol of formula units
- Relative energy among the computed polymorphs: 160 meV per atom
- E_tot: -9.85 eV/atom

Material: KNaMgF4
Method: DFT, PBE
State: optimized geometry

```
data_KNaMgF4
_chemical_formula_sum 'K2 Na2 Mg2 F8'
_symmetry_space_group_name_H-M 'I 4 m m'
_symmetry_Int_Tables_number 107
_symmetry_space_group_name_Hall 'I 4 -2'
_cell_length_a 3.973
_cell_length_b 3.973
_cell_length_c 12.717
_cell_angle_alpha 90.00
_cell_angle_beta 90.00
_cell_angle_gamma 90.00
loop_
_atom_site_label
_atom_site_type_symbol
_atom_site_fract_x
_atom_site_fract_y
_atom_site_fract_z
_atom_site_occupancy
K1 K 0.000 0.000 0.000 1
Na1 Na 0.000 0.000 0.704 1
Mg1 Mg 0.000 0.000 0.350 1
F1 F 0.000 0.000 0.194 1
F2 F 0.000 0.000 0.512 1
F3 F 0.000 0.500 0.346 1
```

- ΔE_f (raw): -3.0798 eV per atom
- E_tot: -4.72 eV/atom

Number 1: spin magnetization 0.00 μB/atom. Number 2: spin magnetization 0.00 μB/atom. Number 3: spin magnetization 0.50 μB/atom. Number 4: spin magnetization 0.07 μB/atom. Number 5: spin magnetization 0.00 μB/atom. Number 6: spin magnetization 0.00 μB/atom. Number 7: spin magnetization 0.00 μB/atom. Number 8: spin magnetization 1.22 μB/atom. Number 9: spin magnetization 0.00 μB/atom. Number 10: spin magnetization 0.12 μB/atom. Number 11: spin magnetization 0.00 μB/atom. Number 12: spin magnetization 0.01 μB/atom.